No. 1
A relaxed structure of SrCa5Mn4Ga2O16, computed with PBEsol.

a = 5.333 Å, b = 10.961 Å, c = 5.504 Å
α = 90.00°, β = 90.04°, γ = 90.00°
Space group Pm (No. 6)
Asymmetric unit:
Sr 0.000 0.000 0.000 [1 per cell]
Ca 0.486 0.307 0.470 [2 per cell]
Ca 0.504 0.000 0.487 [1 per cell]
Ca 0.984 0.309 0.027 [2 per cell]
Mn 0.497 0.171 0.991 [2 per cell]
Mn 0.998 0.171 0.503 [2 per cell]
Ga 0.445 0.500 0.924 [1 per cell]
Ga 0.945 0.500 0.571 [1 per cell]
O 0.025 0.354 0.430 [2 per cell]
O 0.092 0.500 0.881 [1 per cell]
O 0.241 0.197 0.756 [2 per cell]
O 0.253 0.155 0.252 [2 per cell]
O 0.499 0.000 0.925 [1 per cell]
O 0.525 0.354 0.065 [2 per cell]
O 0.593 0.500 0.614 [1 per cell]
O 0.743 0.196 0.742 [2 per cell]
O 0.744 0.155 0.251 [2 per cell]
O 0.998 0.000 0.549 [1 per cell]

## Properties
**Uncorrected formation energy**: -2369.6 meV per atom
**DOS(E_F)**: 0.11 states/eV/atom

---

No. 2
A relaxed structure of CrSbMo2, computed with PBEsol.

a = 6.253 Å, b = 6.253 Å, c = 6.253 Å
α = 90.00°, β = 90.00°, γ = 90.00°
Space group F-43m (No. 216)
Asymmetric unit:
Cr 0.000 0.000 0.000 [4 per cell]
Sb 0.250 0.250 0.750 [4 per cell]
Mo 0.000 0.000 0.500 [4 per cell]
Mo 0.250 0.250 0.250 [4 per cell]

## Properties
**Uncorrected formation energy**: 301.0 meV per atom
**DOS(E_F)**: 0.97 states/eV/atom